ErGe6 | PBE | relaxed

The structure in POSCAR format:
```
ErGe6
1.0
6.1041 0.0000 0.0000
-2.0347 5.7550 0.0000
-2.0347 -2.8775 4.9840
Ge Er
6 1
direct
0.7500 0.5000 0.2500
0.5000 0.7500 0.2500
0.7500 0.2500 0.5000
0.5000 0.2500 0.7500
0.2500 0.5000 0.7500
0.2500 0.7500 0.5000
0.0000 0.0000 0.0000
```

Results
ΔH_f (0 K): 294 meV per atom
total magnetic moment: 0.00 μB per formula unit
VASP energy: -4.315 eV/atom

Er2Ge3 | PBE | relaxed

The structure in POSCAR format:
```
Er2Ge3
1.0
-3.0262 2.5668 -1.1129
-4.7931 -5.4094 0.5572
-1.1137 1.7034 6.9573
Ge Er
6 4
direct
0.0000 0.3763 0.8763
0.0000 0.0000 0.0000
0.0000 0.5000 0.5000
0.0000 0.8763 0.6237
0.0000 0.6237 0.1237
0.0000 0.1237 0.3763
0.5000 0.6789 0.8211
0.5000 0.3211 0.1789
0.5000 0.8211 0.3211
0.5000 0.1789 0.6789
```

Results
ΔH_f (0 K): -662 meV per atom
offset from the most stable computed form: 0.056 eV per atom
total magnetic moment: 0.00 μB per formula unit
VASP energy: -5.257 eV/atom

ErGe2 | PBE | relaxed

The structure in POSCAR format:
```
ErGe2
1.0
5.6087 0.0000 0.0000
2.8044 4.8573 0.0000
2.8044 1.6191 4.5795
Er Ge
2 4
direct
0.2500 0.2500 0.2500
0.0000 0.0000 0.0000
0.6250 0.1250 0.6250
0.6250 0.6250 0.1250
0.1250 0.6250 0.6250
0.6250 0.6250 0.6250
```

Results
ΔH_f (0 K): -272 meV per atom
total magnetic moment: 0.00 μB per formula unit
VASP energy: -4.871 eV/atom

Er5Ge4 | PBE | relaxed

The structure in POSCAR format:
```
Er5Ge4
1.0
7.5881 0.0000 0.0000
0.0000 7.6577 0.0000
0.0000 0.0000 14.5736
Er Ge
20 16
direct
0.2835 0.0019 0.7500
0.8813 0.6605 0.1172
0.6187 0.1605 0.6172
0.8813 0.6605 0.3828
0.3813 0.8395 0.3828
0.3813 0.8395 0.1172
0.1187 0.3395 0.8828
0.9672 0.8242 0.6020
0.0328 0.1758 0.3980
0.4672 0.6758 0.8980
0.9672 0.8242 0.8980
0.5328 0.3242 0.3980
0.1187 0.3395 0.6172
0.0328 0.1758 0.1020
0.6187 0.1605 0.8828
0.5328 0.3242 0.1020
0.7835 0.4981 0.7500
0.7165 0.9981 0.2500
0.4672 0.6758 0.6020
0.2165 0.5019 0.2500
0.2219 0.5308 0.4557
0.7219 0.9692 0.4557
0.2781 0.0308 0.5443
0.8386 0.3614 0.2500
0.6614 0.8614 0.7500
0.2219 0.5308 0.0443
0.7781 0.4692 0.5443
0.7219 0.9692 0.0443
0.7781 0.4692 0.9557
0.4161 0.3808 0.7500
0.1614 0.6386 0.7500
0.9161 0.1192 0.7500
0.3386 0.1386 0.2500
0.2781 0.0308 0.9557
0.5839 0.6192 0.2500
0.0839 0.8808 0.2500
```

Results
ΔH_f (0 K): -856 meV per atom
offset from the most stable computed form: 0.000 eV per atom
total magnetic moment: 0.00 μB per formula unit
VASP energy: -5.443 eV/atom

Er3Ge2 | PBE | relaxed

The structure in POSCAR format:
```
Er3Ge2
1.0
4.3983 0.0000 0.0000
-2.1991 8.6731 0.2258
0.0000 -1.7110 10.5953
Er Ge
9 6
direct
0.7915 0.5831 0.3769
0.1747 0.3494 0.9618
0.8724 0.7447 0.7148
0.2085 0.4169 0.6231
0.5000 0.0000 0.0000
0.4664 0.9328 0.3421
0.5336 0.0672 0.6579
0.1276 0.2553 0.2852
0.8253 0.6506 0.0382
0.0324 0.0647 0.8171
0.3263 0.6525 0.8690
0.6737 0.3475 0.1310
0.3604 0.7208 0.5272
0.9676 0.9353 0.1829
0.6396 0.2792 0.4728
```

Results
ΔH_f (0 K): -648 meV per atom
total magnetic moment: 0.00 μB per formula unit
VASP energy: -5.233 eV/atom

Er5Ge4 | PBE | relaxed

The structure in POSCAR format:
```
Er5Ge4
1.0
-4.0368 -0.2774 1.3825
-3.5987 -1.6028 -4.2170
-1.1617 -9.3064 1.3532
Ge Er
4 5
direct
0.4543 0.2572 0.8341
0.5457 0.7428 0.1659
0.3689 0.6530 0.6092
0.6311 0.3470 0.3908
0.7546 0.6599 0.8309
0.0969 0.1964 0.6099
0.9031 0.8036 0.3901
0.0000 0.0000 0.0000
0.2454 0.3401 0.1691
```

Results
ΔH_f (0 K): -786 meV per atom
offset from the most stable computed form: 0.070 eV per atom
total magnetic moment: 0.00 μB per formula unit
VASP energy: -5.373 eV/atom

Er4Ge | PBE | relaxed

The structure in POSCAR format:
```
Er4Ge
1.0
-3.7834 3.4365 1.9096
-3.4045 -1.5384 -3.9765
-1.9661 -3.9489 3.2111
Ge Er
1 4
direct
0.5000 0.5000 0.5000
0.5000 0.5000 0.0000
0.5000 0.0000 0.5000
0.0000 0.5000 0.5000
0.0000 0.0000 0.0000
```

Results
ΔH_f (0 K): -10 meV per atom
total magnetic moment: 0.00 μB per formula unit
VASP energy: -4.584 eV/atom

Er2GeH | PBE | relaxed

The structure in POSCAR format:
```
Er2GeH
1.0
4.3378 0.0000 0.0000
2.1689 3.7567 0.0000
2.1689 1.2522 6.8342
H Er Ge
1 2 1
direct
0.0000 0.0000 0.0000
0.1013 0.1013 0.6962
0.8987 0.8987 0.3038
0.5000 0.5000 0.5000
```

Results
offset from the most stable computed form: 0.267 eV per atom
total magnetic moment: 0.31 μB per formula unit
VASP energy: -4.625 eV/atom